! GGA-PBE Pm6C2I3N, optimized geometry; values from VASP
! E_form (uncorrected) ... -0.89 eV/atom
! Magnetic moment ... 0.000 μB per formula unit
! Calculated volume ... 24.42 A^3/atom
&SYSTEM
  ibrav = 0, nat = 12, ntyp = 4
/
ATOMIC_SPECIES
N 14.01 N.upf
Pm 145.00 Pm.upf
C 12.01 C.upf
I 126.90 I.upf
CELL_PARAMETERS angstrom
6.637 -0.001 0.000
-3.318 5.749 0.000
-1.107 -1.917 7.682
ATOMIC_POSITIONS crystal
N 0.000 0.000 0.000
Pm 0.612 0.943 0.829
Pm 0.388 0.057 0.171
Pm 0.943 0.612 0.829
Pm 0.057 0.388 0.171
Pm 0.274 0.274 0.829
Pm 0.726 0.726 0.171
C 0.333 0.667 0.000
C 0.667 0.333 0.000
I 0.168 0.832 0.500
I 0.500 0.500 0.500
I 0.832 0.168 0.500